Below is a relaxed KCaPt4 crystal, with properties calculated at the GGA-PBEsol level.

abc: 5.396 5.396 5.396
angles: 60.00 60.00 60.00
Element x y z (fractional)
Pt (0.375, 0.375, 0.875)
Ca (0.750, 0.750, 0.750)
Pt (0.875, 0.375, 0.375)
K (0.000, 0.000, 0.000)
Pt (0.375, 0.375, 0.375)
Pt (0.375, 0.875, 0.375)

Computed properties:
D(E_F): 0.236 states/eV/atom
Magnetization: 0.000 μB per atom
E_tot: -0.211 Ha/atom
Formation enthalpy at 0 K: -553 meV per atom

Below is a relaxed YInRe crystal, with properties calculated at the GGA-PBEsol level.

abc: 3.024 3.024 7.124
angles: 99.03 99.03 105.09
Element x y z (fractional)
Y (0.679, 0.679, 0.357)
Re (0.335, 0.335, 0.670)
In (0.986, 0.986, 0.973)

Computed properties:
D(E_F): 0.972 states/eV/atom
Magnetization: 0.000 μB per atom
E_tot: -0.271 Ha/atom
Formation enthalpy at 0 K: 337 meV per atom